[1]
# SrLiAgAu

A relaxed SrLiAgAu crystal (PBE-GGA, Alexandria via LeMat-Bulk).

a b c (Å): 7.289 7.289 7.289
angles (deg): 90.00 90.00 90.00
Atoms (fractional coordinates):
Sr 0.000 0.000 0.000
Sr 0.000 0.500 0.500
Sr 0.500 0.000 0.500
Sr 0.500 0.500 0.000
Li 0.000 0.000 0.500
Li 0.000 0.500 0.000
Li 0.500 0.000 0.000
Li 0.500 0.500 0.500
Ag 0.250 0.250 0.750
Ag 0.250 0.750 0.250
Ag 0.750 0.250 0.250
Ag 0.750 0.750 0.750
Au 0.250 0.250 0.250
Au 0.250 0.750 0.750
Au 0.750 0.250 0.750
Au 0.750 0.750 0.250

Summary:
**ΔE to the lowest computed polymorph**: 111.2 meV per atom
**Energy of formation**: -0.3645 eV per atom
**Symmetry**: No. 216
**M_tot**: 0.0 μB/cell

[2]
# Nd2SmY2Ho4

A relaxed Nd2SmY2Ho4 crystal (PBE-GGA, Alexandria via LeMat-Bulk).

a b c (Å): 9.547 9.547 9.595
angles (deg): 115.23 115.23 21.82
Atoms (fractional coordinates):
Nd 0.166 0.166 0.001
Nd 0.834 0.834 0.999
Sm 0.500 0.500 0.000
Y 0.353 0.353 0.337
Y 0.647 0.647 0.663
Ho 0.019 0.019 0.335
Ho 0.314 0.314 0.663
Ho 0.686 0.686 0.337
Ho 0.981 0.981 0.665

Summary:
**Energy of formation**: -0.0042 eV per atom
**Symmetry**: No. 12
**M_tot**: 0.0 μB/cell

[3]
# CsIO6

A relaxed CsIO6 crystal (PBE-GGA, Alexandria via LeMat-Bulk).

a b c (Å): 5.529 5.529 5.529
angles (deg): 95.96 95.96 95.96
Atoms (fractional coordinates):
Cs 0.000 0.000 0.000
I 0.500 0.500 0.500
O 0.259 0.259 0.571
O 0.259 0.571 0.259
O 0.429 0.741 0.741
O 0.571 0.259 0.259
O 0.741 0.429 0.741
O 0.741 0.741 0.429

Summary:
**Energy**: -3.997 eV/atom
**Symmetry**: No. 166
**M_tot**: 4.0 μB/cell

[4]
# CaScB2

A relaxed CaScB2 crystal (PBE-GGA, Alexandria via LeMat-Bulk).

a b c (Å): 6.704 6.704 6.460
angles (deg): 90.00 90.00 90.00
Atoms (fractional coordinates):
Ca 0.000 0.000 0.000
Ca 0.000 0.500 0.250
Ca 0.500 0.000 0.750
Ca 0.500 0.500 0.500
Sc 0.000 0.000 0.500
Sc 0.000 0.500 0.750
Sc 0.500 0.000 0.250
Sc 0.500 0.500 0.000
B 0.217 0.750 0.625
B 0.250 0.217 0.375
B 0.250 0.283 0.875
B 0.283 0.750 0.125
B 0.717 0.250 0.125
B 0.750 0.717 0.875
B 0.750 0.783 0.375
B 0.783 0.250 0.625

Summary:
**ΔE to the lowest computed polymorph**: 338.3 meV per atom
**Energy of formation**: 0.7996 eV per atom
**Symmetry**: No. 122
**M_tot**: 0.0 μB/cell

[5]
# TmSc2CdHg4

A relaxed TmSc2CdHg4 crystal (PBE-GGA, Alexandria via LeMat-Bulk).

a b c (Å): 8.831 8.831 8.831
angles (deg): 32.92 32.92 32.92
Atoms (fractional coordinates):
Tm 0.000 0.000 0.000
Sc 0.244 0.244 0.244
Sc 0.756 0.756 0.756
Cd 0.500 0.500 0.500
Hg 0.123 0.123 0.123
Hg 0.372 0.372 0.372
Hg 0.628 0.628 0.628
Hg 0.877 0.877 0.877

Summary:
**Energy of formation**: -0.3526 eV per atom
**Symmetry**: No. 166
**M_tot**: 0.0 μB/cell

[6]
# Rb2NaCdAu

A relaxed Rb2NaCdAu crystal (PBE-GGA, Alexandria via LeMat-Bulk).

a b c (Å): 6.651 6.651 5.490
angles (deg): 90.00 90.00 90.00
Atoms (fractional coordinates):
Rb 0.000 0.500 0.000
Rb 0.500 0.000 0.000
Na 0.000 0.000 0.500
Cd 0.500 0.500 0.500
Au 0.500 0.500 0.000

Summary:
**ΔE to the lowest computed polymorph**: 0.0 meV per atom
**Energy of formation**: -0.0811 eV per atom
**Symmetry**: No. 123
**M_tot**: 0.0 μB/cell

[7]
# K2U2MnTe6

A relaxed K2U2MnTe6 crystal (PBE-GGA, Alexandria via LeMat-Bulk).

a b c (Å): 7.524 7.524 8.821
angles (deg): 98.42 98.42 119.92
Atoms (fractional coordinates):
K 0.169 0.831 0.000
K 0.831 0.169 0.000
U 0.333 0.667 0.500
U 0.667 0.333 0.500
Mn 0.000 0.000 0.500
Te 0.071 0.391 0.701
Te 0.253 0.253 0.301
Te 0.391 0.071 0.701
Te 0.609 0.929 0.299
Te 0.747 0.747 0.699
Te 0.929 0.609 0.299

Summary:
**Energy**: -5.495 eV/atom
**Symmetry**: No. 12
**M_tot**: 9.0 μB/cell

[8]
# MnFePd

A relaxed MnFePd crystal (PBE-GGA, Alexandria via LeMat-Bulk).

a b c (Å): 2.643 2.643 11.185
angles (deg): 90.00 90.00 90.00
Atoms (fractional coordinates):
Mn 0.000 0.000 0.000
Mn 0.500 0.500 0.500
Fe 0.000 0.000 0.652
Fe 0.500 0.500 0.152
Pd 0.000 0.000 0.324
Pd 0.500 0.500 0.824

Summary:
**Energy of formation**: 0.0648 eV per atom
**Symmetry**: No. 107
**M_tot**: 0.4 μB/cell